## NbSe3Br (PBE)

Data for a relaxed NbSe3Br crystal.

Geometry as POSCAR:
```
NbSe3Br
1.0
-6.1041 1.2742 3.5488
-2.9077 -4.8478 4.4183
7.6964 4.2150 1.3842
Br Nb Se
2 2 6
direct
0.2152 0.2152 0.1792
0.7848 0.7848 0.8208
0.7382 0.2618 0.0000
0.2618 0.7382 0.0000
0.6958 0.6958 0.1766
0.8564 0.1928 0.3044
0.1928 0.8564 0.3044
0.8072 0.1436 0.6956
0.1436 0.8072 0.6956
0.3042 0.3042 0.8234
```

Volume (A^3/atom): 29.20
Space group: No. 12
Total magnetic moment (Bohr magnetons per cell): 0.1
Uncorrected energy (eV/atom): -4.891